1.
VASP calculation (PBE-GGA) on Te2AsW after structural relaxation.

Calculated values
- ΔE_f (raw) (kJ per mole of atoms) = 40.66

Cell: 3.487 5.069 10.809 Å, 90.00 90.00 90.00°
Space group Cmm2 (No. 35)
Symmetry-distinct sites (fractional):
Te 0.000 0.000 0.000 [2 per cell]
Te 0.000 0.500 0.308 [2 per cell]
As 0.000 0.000 0.619 [2 per cell]
W 0.000 0.500 0.791 [2 per cell]

2.
VASP calculation (PBE-GGA) on KTl3Au3 after structural relaxation.

Calculated values
- energy relative to the elements (eV per atom) = -0.13

Cell: 9.925 4.732 9.931 Å, 90.00 119.97 90.00°
Space group P2_1/m (No. 11)
Symmetry-distinct sites (fractional):
K 0.167 0.250 0.333 [2 per cell]
Tl 0.216 0.250 0.947 [2 per cell]
Tl 0.268 0.750 0.716 [2 per cell]
Tl 0.447 0.750 0.232 [2 per cell]
Au 0.057 0.250 0.596 [2 per cell]
Au 0.096 0.750 0.039 [2 per cell]
Au 0.461 0.750 0.557 [2 per cell]